A relaxed TmAlGaPt2 crystal. Source: Alexandria, functional GGA-PBE.

abc: 6.618 6.618 6.618
angles: 145.58 145.58 49.48
Element x y z (fractional)
Tm 0.000 0.000 0.000
Al 0.750 0.250 0.500
Ga 0.250 0.750 0.500
Pt 0.387 0.387 0.000
Pt 0.613 0.613 0.000

Calculated values
The calculation puts the total energy at -5.691 eV/atom.